No. 1
Computed, not measured: a geometry-optimized RbInBi3 structure at the GGA-PBE level of DFT.

Formation energy, meV/atom: 1087
Excess energy over the best structure of this formula in the dataset, eV per atom: 1.198
Symmetry: Pm-3m

Cell lengths 6.205, 6.205, 6.205 Å; angles 90.00, 90.00, 90.00 degrees
Positions (direct):
Rb: 0.000 0.000 0.000
In: 0.500 0.500 0.500
Bi: 0.000 0.000 0.500
Bi: 0.000 0.500 0.000
Bi: 0.500 0.000 0.000

No. 2
Computed, not measured: a geometry-optimized Rb2In2Bi structure at the GGA-PBE level of DFT.

Formation energy, meV/atom: -102
Excess energy over the best structure of this formula in the dataset, eV per atom: 0.000
Symmetry: C2/m

Cell lengths 7.277, 7.277, 9.458 Å; angles 100.26, 100.26, 113.57 degrees
Positions (direct):
Rb: 0.050 0.397 0.210
Rb: 0.397 0.050 0.210
Rb: 0.603 0.950 0.790
Rb: 0.950 0.603 0.790
In: 0.221 0.221 0.836
In: 0.382 0.382 0.600
In: 0.618 0.618 0.400
In: 0.779 0.779 0.164
Bi: 0.127 0.873 0.500
Bi: 0.873 0.127 0.500

No. 3
Computed, not measured: a geometry-optimized RbIn4Bi2 structure at the GGA-PBE level of DFT.

Formation energy, meV/atom: -71
Excess energy over the best structure of this formula in the dataset, eV per atom: 0.030
Symmetry: C2/m

Cell lengths 4.887, 4.887, 11.532 Å; angles 94.51, 94.51, 69.23 degrees
Positions (direct):
Rb: 0.000 0.000 0.000
In: 0.180 0.180 0.531
In: 0.321 0.321 0.297
In: 0.679 0.679 0.703
In: 0.820 0.820 0.469
Bi: 0.333 0.333 0.783
Bi: 0.667 0.667 0.217

No. 4
Computed, not measured: a geometry-optimized RbIn4Bi2 structure at the GGA-PBE level of DFT.

Formation energy, meV/atom: -101
Excess energy over the best structure of this formula in the dataset, eV per atom: 0.000
Symmetry: P4_2/mnm

Cell lengths 9.589, 9.589, 5.220 Å; angles 90.00, 90.00, 90.00 degrees
Positions (direct):
Rb: 0.000 0.000 0.000
Rb: 0.500 0.500 0.500
In: 0.088 0.356 0.500
In: 0.144 0.588 0.000
In: 0.356 0.088 0.500
In: 0.412 0.856 0.000
In: 0.588 0.144 0.000
In: 0.644 0.912 0.500
In: 0.856 0.412 0.000
In: 0.912 0.644 0.500
Bi: 0.219 0.781 0.500
Bi: 0.281 0.281 0.000
Bi: 0.719 0.719 0.000
Bi: 0.781 0.219 0.500

No. 5
Computed, not measured: a geometry-optimized RbInBi2 structure at the GGA-PBE level of DFT.

Formation energy, meV/atom: -25
Symmetry: R3m

Cell lengths 10.326, 10.326, 10.326 Å; angles 23.04, 23.04, 23.04 degrees
Positions (direct):
Rb: 0.000 0.000 0.000
In: 0.834 0.834 0.834
Bi: 0.234 0.234 0.234
Bi: 0.435 0.435 0.435

No. 6
Computed, not measured: a geometry-optimized RbInBi3 structure at the GGA-PBE level of DFT.

Formation energy, meV/atom: -111
Excess energy over the best structure of this formula in the dataset, eV per atom: 0.000
Symmetry: Pmn2_1

Cell lengths 7.165, 7.331, 7.118 Å; angles 90.00, 90.00, 90.00 degrees
Positions (direct):
Rb: 0.000 0.240 0.000
Rb: 0.500 0.760 0.500
In: 0.000 0.608 0.340
In: 0.500 0.392 0.840
Bi: 0.000 0.904 0.645
Bi: 0.248 0.274 0.483
Bi: 0.252 0.726 0.983
Bi: 0.500 0.096 0.145
Bi: 0.748 0.726 0.983
Bi: 0.752 0.274 0.483

No. 7
Computed, not measured: a geometry-optimized RbIn2BiRh structure at the GGA-PBE level of DFT.

Formation energy, meV/atom: -110
Symmetry: P4/mmm

Cell lengths 5.244, 5.244, 5.634 Å; angles 90.00, 90.00, 90.00 degrees
Positions (direct):
Rb: 0.000 0.000 0.000
In: 0.000 0.500 0.500
In: 0.500 0.000 0.500
Bi: 0.500 0.500 0.000
Rh: 0.500 0.500 0.500

No. 8
Computed, not measured: a geometry-optimized RbIn2BiRu structure at the GGA-PBE level of DFT.

Formation energy, meV/atom: 37
Symmetry: P4/mmm

Cell lengths 5.281, 5.281, 5.474 Å; angles 90.00, 90.00, 90.00 degrees
Positions (direct):
Rb: 0.000 0.000 0.000
In: 0.000 0.500 0.500
In: 0.500 0.000 0.500
Bi: 0.500 0.500 0.000
Ru: 0.500 0.500 0.500

No. 9
Computed, not measured: a geometry-optimized RbInBiS3 structure at the GGA-PBE level of DFT.

E, eV per cell: -46.94
Symmetry: P2_1/m

Cell lengths 8.847, 4.654, 9.975 Å; angles 90.00, 103.64, 90.00 degrees
Positions (direct):
Rb: 0.184 0.250 0.210
Rb: 0.816 0.750 0.790
In: 0.122 0.250 0.595
In: 0.878 0.750 0.405
Bi: 0.346 0.750 0.869
Bi: 0.654 0.250 0.131
S: 0.140 0.250 0.854
S: 0.189 0.750 0.514
S: 0.438 0.750 0.134
S: 0.562 0.250 0.866
S: 0.811 0.250 0.486
S: 0.860 0.750 0.146

No. 10
Computed, not measured: a geometry-optimized Rb4InBi3S8 structure at the GGA-PBE level of DFT.

E, eV per cell: -63.87
Symmetry: R-3m

Cell lengths 9.073, 9.073, 9.073 Å; angles 54.38, 54.38, 54.38 degrees
Positions (direct):
Rb: 0.000 0.000 0.000
Rb: 0.000 0.500 0.500
Rb: 0.500 0.000 0.500
Rb: 0.500 0.500 0.000
In: 0.500 0.500 0.500
Bi: 0.000 0.000 0.500
Bi: 0.000 0.500 0.000
Bi: 0.500 0.000 0.000
S: 0.234 0.234 0.234
S: 0.246 0.724 0.724
S: 0.276 0.276 0.754
S: 0.276 0.754 0.276
S: 0.724 0.246 0.724
S: 0.724 0.724 0.246
S: 0.754 0.276 0.276
S: 0.766 0.766 0.766

No. 11
Computed, not measured: a geometry-optimized Rb3InBi2S6 structure at the GGA-PBE level of DFT.

E, eV per cell: -47.73
Symmetry: C2/m

Cell lengths 7.151, 7.151, 8.054 Å; angles 98.53, 98.53, 119.99 degrees
Positions (direct):
Rb: 0.000 0.000 0.000
Rb: 0.329 0.671 0.000
Rb: 0.671 0.329 0.000
In: 0.500 0.500 0.500
Bi: 0.166 0.834 0.500
Bi: 0.834 0.166 0.500
S: 0.118 0.435 0.305
S: 0.249 0.249 0.696
S: 0.435 0.118 0.305
S: 0.565 0.882 0.695
S: 0.751 0.751 0.304
S: 0.882 0.565 0.695

No. 12
Computed, not measured: a geometry-optimized Rb2In2BiSb2 structure at the GGA-PBE level of DFT.

E, eV per cell: -20.94
Symmetry: C2/m

Cell lengths 8.548, 8.548, 10.219 Å; angles 124.54, 124.54, 29.47 degrees
Positions (direct):
Rb: 0.059 0.059 0.262
Rb: 0.941 0.941 0.738
In: 0.308 0.308 0.172
In: 0.692 0.692 0.828
Bi: 0.500 0.500 0.500
Sb: 0.328 0.328 0.903
Sb: 0.672 0.672 0.097

| no. | V (Å³/atom) |
| --- | --- |
| 1 | 47.8 |
| 2 | 43.4 |
| 3 | 36.6 |
| 4 | 34.3 |
| 5 | 37.0 |
| 6 | 37.4 |
| 7 | 31.0 |
| 8 | 30.5 |
| 9 | 33.3 |
| 10 | 28.7 |
| 11 | 28.4 |
| 12 | 42.5 |